Record 1
Compound: NdMgNi4H7
Source: Alexandria
Functional: PBE
Structure: relaxed

Output
V: 8.7 Å³/atom
E: -4.33 eV per atom

a b c (Å): 5.432 5.432 5.432
angles (deg): 60.00 60.00 60.00
Atoms (fractional coordinates):
Nd (0.000, 0.000, 0.000)
Mg (0.250, 0.250, 0.250)
Ni (0.623, 0.623, 0.130)
Ni (0.623, 0.130, 0.623)
Ni (0.130, 0.623, 0.623)
Ni (0.623, 0.623, 0.623)
H (0.990, 0.990, 0.510)
H (0.510, 0.990, 0.510)
H (0.990, 0.510, 0.510)
H (0.510, 0.510, 0.990)
H (0.990, 0.510, 0.990)
H (0.510, 0.990, 0.990)
H (0.500, 0.500, 0.500)

Record 2
Compound: Th2TlSb
Source: Alexandria
Functional: PBE
Structure: relaxed

Output
V: 29.4 Å³/atom
E: -5.68 eV per atom
polymorph energy (0 for the lowest one): 0.0951 eV per atom
formation energy from raw total energies: -349 meV per atom

a b c (Å): 5.497 5.497 5.497
angles (deg): 60.00 60.00 60.00
Atoms (fractional coordinates):
Sb (0.000, 0.000, 0.000)
Tl (0.500, 0.500, 0.500)
Th (0.250, 0.250, 0.250)
Th (0.750, 0.750, 0.750)

Record 3
Compound: GeO
Source: Alexandria
Functional: PBE
Structure: relaxed

Output
V: 23.3 Å³/atom
E: -5.93 eV per atom
formation energy from raw total energies: -1142 meV per atom

a b c (Å): 3.005 4.620 7.246
angles (deg): 108.59 101.97 90.00
Atoms (fractional coordinates):
Ge (0.166, 0.259, 0.332)
Ge (0.834, 0.927, 0.668)
O (0.724, 0.098, 0.447)
O (0.276, 0.651, 0.553)

Record 4
Compound: ErTm2Cu3
Source: Alexandria
Functional: PBE
Structure: relaxed

Output
DFT formation energy: -0.2905 eV per atom
V: 20.0 Å³/atom
E: -4.59 eV per atom

a b c (Å): 3.415 3.415 10.308
angles (deg): 90.00 90.00 90.00
Atoms (fractional coordinates):
Er (0.500, 0.500, 0.500)
Tm (0.500, 0.500, 0.834)
Tm (0.500, 0.500, 0.166)
Cu (0.000, 0.000, 0.000)
Cu (0.000, 0.000, 0.668)
Cu (0.000, 0.000, 0.332)

Record 5
Compound: YTiCd3
Source: Alexandria
Functional: PBE
Structure: relaxed

Output
DFT formation energy: 0.4681 eV per atom
V: 27.8 Å³/atom
E: -2.95 eV per atom
polymorph energy (0 for the lowest one): 0.0000 eV per atom

a b c (Å): 5.181 5.181 5.181
angles (deg): 90.00 90.00 90.00
Atoms (fractional coordinates):
Y (0.500, 0.500, 0.500)
Ti (0.000, 0.000, 0.000)
Cd (0.000, 0.500, 0.000)
Cd (0.000, 0.000, 0.500)
Cd (0.500, 0.000, 0.000)

Record 6
Compound: TeIr2O
Source: Alexandria
Functional: PBE
Structure: relaxed

Output
V: 14.7 Å³/atom
E: -5.88 eV per atom
polymorph energy (0 for the lowest one): 0.4263 eV per atom
formation energy from raw total energies: 571 meV per atom

a b c (Å): 4.362 4.362 4.362
angles (deg): 60.00 60.00 60.00
Atoms (fractional coordinates):
Ir (0.250, 0.250, 0.250)
Ir (0.750, 0.750, 0.750)
Te (0.500, 0.500, 0.500)
O (0.000, 0.000, 0.000)

Record 7
Compound: Pr3AlFeS7
Source: Alexandria
Functional: PBE
Structure: relaxed

Output
V: 22.5 Å³/atom
E: -6.18 eV per atom
formation energy from raw total energies: -1565 meV per atom

a b c (Å): 10.022 10.022 6.199
angles (deg): 90.00 90.00 120.00
Atoms (fractional coordinates):
Pr (0.774, 0.150, 0.232)
Pr (0.376, 0.226, 0.232)
Pr (0.850, 0.624, 0.232)
Pr (0.226, 0.850, 0.732)
Pr (0.624, 0.774, 0.732)
Pr (0.150, 0.376, 0.732)
Al (0.667, 0.333, 0.655)
Al (0.333, 0.667, 0.155)
Fe (0.000, 0.000, 0.045)
Fe (0.000, 0.000, 0.545)
S (0.864, 0.094, 0.809)
S (0.230, 0.136, 0.809)
S (0.906, 0.770, 0.809)
S (0.136, 0.906, 0.309)
S (0.770, 0.864, 0.309)
S (0.094, 0.230, 0.309)
S (0.903, 0.425, 0.509)
S (0.521, 0.097, 0.509)
S (0.575, 0.479, 0.509)
S (0.097, 0.575, 0.009)
S (0.479, 0.903, 0.009)
S (0.425, 0.521, 0.009)
S (0.667, 0.333, 0.015)
S (0.333, 0.667, 0.515)

Record 8
Compound: Al2NiAu2
Source: Alexandria
Functional: PBE
Structure: relaxed

Output
DFT formation energy: -0.1607 eV per atom
V: 16.2 Å³/atom
E: -4.12 eV per atom
polymorph energy (0 for the lowest one): 0.0179 eV per atom

a b c (Å): 7.127 7.127 3.184
angles (deg): 90.00 90.00 90.00
Atoms (fractional coordinates):
Ni (0.000, 0.000, 0.000)
Ni (0.500, 0.500, 0.000)
Au (0.357, 0.857, 0.000)
Au (0.857, 0.643, 0.000)
Au (0.643, 0.143, 0.000)
Au (0.143, 0.357, 0.000)
Al (0.162, 0.662, 0.500)
Al (0.662, 0.838, 0.500)
Al (0.838, 0.338, 0.500)
Al (0.338, 0.162, 0.500)

Record 9
Compound: AcErBiO2
Source: Alexandria
Functional: PBE
Structure: relaxed

Output
V: 23.2 Å³/atom
E: -7.14 eV per atom
formation energy from raw total energies: -2647 meV per atom

a b c (Å): 5.697 5.751 7.657
angles (deg): 112.06 90.00 90.00
Atoms (fractional coordinates):
Ac (0.250, 0.594, 0.189)
Ac (0.750, 0.406, 0.811)
Er (0.250, 0.929, 0.857)
Er (0.750, 0.071, 0.143)
Bi (0.750, 0.750, 0.500)
Bi (0.250, 0.250, 0.500)
O (0.500, 0.237, 0.000)
O (0.000, 0.763, 0.000)
O (0.500, 0.763, 0.000)
O (0.000, 0.237, 0.000)

Record 10
Compound: LaAuCl
Source: Alexandria
Functional: PBE
Structure: relaxed

Output
V: 29.2 Å³/atom
E: -4.52 eV per atom
polymorph energy (0 for the lowest one): 0.2375 eV per atom
formation energy from raw total energies: -1165 meV per atom

a b c (Å): 4.988 4.988 4.988
angles (deg): 60.00 60.00 60.00
Atoms (fractional coordinates):
Cl (0.500, 0.500, 0.500)
Au (0.000, 0.000, 0.000)
La (0.750, 0.750, 0.750)

Record 11
Compound: YAgRhAu
Source: Alexandria
Functional: PBE
Structure: relaxed

Output
DFT formation energy: -0.4205 eV per atom
V: 19.3 Å³/atom
E: -5.41 eV per atom
polymorph energy (0 for the lowest one): 0.1203 eV per atom

a b c (Å): 4.776 4.776 4.776
angles (deg): 60.00 60.00 60.00
Atoms (fractional coordinates):
Y (0.750, 0.750, 0.750)
Rh (0.500, 0.500, 0.500)
Au (0.000, 0.000, 0.000)
Ag (0.250, 0.250, 0.250)

Record 12
Compound: Dy3TlRh2
Source: Alexandria
Functional: PBE
Structure: relaxed

Output
DFT formation energy: -0.6926 eV per atom
V: 22.8 Å³/atom
E: -5.84 eV per atom

a b c (Å): 3.385 3.385 11.940
angles (deg): 90.00 90.00 90.00
Atoms (fractional coordinates):
Dy (0.000, 0.000, 0.000)
Dy (0.000, 0.000, 0.709)
Dy (0.000, 0.000, 0.291)
Tl (0.500, 0.500, 0.500)
Rh (0.500, 0.500, 0.850)
Rh (0.500, 0.500, 0.150)